[1]
A plane-wave DFT calculation with meta-GGA SCAN was carried out for a crystal of Zn3MoN4 relaxed with PBEsol.

```
16
Lattice="-0.555 3.648 3.792 -4.275 2.272 -2.812 -4.122 -3.882 3.131" Properties=species:S:1:pos:R:3 pbc="T T T"
Zn -1.902 0.385 1.333
Zn -2.998 2.497 -0.851
Zn -3.915 1.625 3.545
Zn -7.081 1.778 2.927
Zn -3.953 -1.546 2.891
Zn -5.010 3.728 1.353
N -1.640 2.285 0.674
N -5.442 2.946 3.173
N -3.799 0.282 2.033
N -4.832 2.270 -0.035
N -3.245 4.700 1.555
N -4.377 0.668 5.264
N -2.211 2.708 3.619
N -6.789 0.427 1.451
Mo -1.838 3.562 1.995
Mo -5.076 0.569 0.709
```

* N(E_F): 0.0000 states/eV per atom
* DFT total energy: -14.43 eV per atom
* ΔE_f (raw): -0.357 eV per atom

[2]
A plane-wave DFT calculation with meta-GGA SCAN was carried out for a crystal of MgAlPd3 relaxed with PBEsol.

```
5
Lattice="4.491 0.000 0.000 0.000 4.491 0.000 0.000 0.000 4.491" Properties=species:S:1:pos:R:3 pbc="T T T"
Al 2.245 2.245 2.245
Mg 0.000 0.000 0.000
Pd 2.245 0.000 0.000
Pd 0.000 2.245 0.000
Pd 0.000 0.000 2.245
```

* N(E_F): 0.3894 states/eV per atom
* DFT total energy: -21.84 eV per atom
* ΔE_f: 369.7 meV per atom

[3]
A plane-wave DFT calculation with meta-GGA SCAN was carried out for a crystal of NbFeGeSb2 relaxed with PBEsol.

```
5
Lattice="4.780 0.000 0.000 0.000 5.159 0.000 0.000 0.000 5.159" Properties=species:S:1:pos:R:3 pbc="T T T"
Sb 0.000 2.579 0.000
Sb 0.000 0.000 2.579
Fe 2.390 2.579 2.579
Nb 2.390 0.000 0.000
Ge 0.000 0.000 0.000
```

* N(E_F): 0.8619 states/eV per atom
* DFT total energy: -27.71 eV per atom
* ΔE_f (raw): 1.259 eV per atom

[4]
A plane-wave DFT calculation with meta-GGA SCAN was carried out for a crystal of HfRe2BSe relaxed with PBEsol.

```
5
Lattice="4.100 0.000 0.000 0.000 4.866 0.000 0.000 0.000 4.866" Properties=species:S:1:pos:R:3 pbc="T T T"
Re 0.000 2.433 0.000
Re 0.000 0.000 2.433
B 2.050 0.000 0.000
Hf 0.000 0.000 0.000
Se 2.050 2.433 2.433
```

* N(E_F): 0.7554 states/eV per atom
* DFT total energy: -44.04 eV per atom
* ΔE_f (raw): 2.433 eV per atom

[5]
A plane-wave DFT calculation with meta-GGA SCAN was carried out for a crystal of BeCr2Mo relaxed with PBEsol.

```
4
Lattice="-1.808 1.324 -1.143 -0.266 -2.397 -0.715 -4.718 -1.266 5.997" Properties=species:S:1:pos:R:3 pbc="T T T"
Be -2.151 -0.836 0.487
Cr -0.040 -0.011 0.051
Cr -4.648 -1.506 3.660
Mo -2.312 -0.621 2.939
```

* N(E_F): 0.5220 states/eV per atom
* DFT total energy: -18.86 eV per atom
* ΔE_f: 140.8 meV per atom

[6]
A plane-wave DFT calculation with meta-GGA SCAN was carried out for a crystal of Tl2SbPd relaxed with PBEsol.

```
4
Lattice="5.073 0.000 0.000 2.536 4.393 0.000 2.536 1.464 4.142" Properties=species:S:1:pos:R:3 pbc="T T T"
Sb 5.073 2.929 2.071
Tl 7.609 4.393 3.106
Tl 2.536 1.464 1.035
Pd 0.000 0.000 0.000
```

* N(E_F): 0.4582 states/eV per atom
* DFT total energy: -53.50 eV per atom
* ΔE_f (raw): 0.186 eV per atom

[7]
A plane-wave DFT calculation with meta-GGA SCAN was carried out for a crystal of In2GaIr relaxed with PBEsol.

```
8
Lattice="4.773 0.000 0.000 2.387 7.054 0.000 2.387 0.000 7.054" Properties=species:S:1:pos:R:3 pbc="T T T"
Ir 0.000 0.000 0.000
Ir 5.967 3.527 3.527
Ga 3.580 3.527 3.527
Ga 2.387 0.000 0.000
In 6.563 1.763 5.290
In 5.370 1.763 1.763
In 5.370 5.290 5.290
In 6.563 5.290 1.763
```

* DFT total energy: -38.85 eV per atom
* ΔE_f: -295.3 meV per atom

[8]
A plane-wave DFT calculation with meta-GGA SCAN was carried out for a crystal of Sr2ZrIn relaxed with PBEsol.

```
4
Lattice="-1.573 1.299 2.883 -3.364 1.066 -0.152 -5.138 -9.820 3.783" Properties=species:S:1:pos:R:3 pbc="T T T"
Sr -2.533 -1.908 1.640
Sr -7.542 -5.548 4.874
In -5.037 -3.728 3.257
Zr 0.000 0.000 0.000
```

* N(E_F): 1.0614 states/eV per atom
* DFT total energy: -26.87 eV per atom
* ΔE_f: 287.2 meV per atom

[9]
A plane-wave DFT calculation with meta-GGA SCAN was carried out for a crystal of LiTlW2 relaxed with PBEsol.

```
4
Lattice="2.740 0.000 0.000 0.000 5.256 0.000 0.000 -2.628 4.640" Properties=species:S:1:pos:R:3 pbc="T T T"
W 0.000 -1.314 2.320
W 0.000 1.314 2.320
Li 1.370 0.000 0.000
Tl 1.370 2.628 0.000
```

* N(E_F): 0.5677 states/eV per atom
* DFT total energy: -52.70 eV per atom
* ΔE_f: 828.8 meV per atom

[10]
A plane-wave DFT calculation with meta-GGA SCAN was carried out for a crystal of NbBi4ClO8 relaxed with PBEsol.

```
56
Lattice="5.490 0.000 0.000 0.000 5.533 0.000 0.000 0.000 28.506" Properties=species:S:1:pos:R:3 pbc="T T T"
Bi 2.788 2.795 26.606
Bi 0.043 5.504 1.899
Bi 0.096 3.010 24.039
Bi 2.841 5.290 4.466
Bi 5.447 5.504 12.354
Bi 2.841 0.243 18.719
Bi 5.394 2.523 4.466
Bi 0.043 0.029 16.152
Bi 5.447 0.029 26.606
Bi 2.702 2.795 16.152
Bi 2.702 2.738 1.899
Bi 5.394 3.010 18.719
Bi 2.649 5.290 9.787
Bi 2.649 0.243 24.039
Bi 2.788 2.738 12.354
Bi 0.096 2.523 9.787
Nb 0.000 0.069 7.126
Nb 2.745 2.835 7.126
Nb 0.000 5.464 21.379
Nb 2.745 2.698 21.379
O 2.169 3.198 8.995
O 1.349 1.665 6.621
O 1.373 1.356 25.544
O 4.914 5.101 19.511
O 1.385 1.415 17.274
O 1.372 4.122 25.544
O 4.094 1.102 21.885
O 4.094 4.431 7.632
O 4.118 1.411 2.962
O 4.141 1.665 7.632
O 1.372 1.411 11.291
O 3.321 2.335 19.511
O 4.105 1.415 25.485
O 4.914 0.432 5.258
O 4.130 4.181 25.485
O 4.105 4.118 11.232
O 4.117 1.356 17.215
O 1.373 4.177 11.291
O 1.349 3.868 20.874
O 4.118 4.122 17.215
O 0.576 5.101 23.248
O 1.396 4.431 6.621
O 2.169 2.335 23.248
O 1.385 4.118 3.021
O 3.321 3.198 5.258
O 1.396 1.102 20.874
O 4.141 3.868 21.885
O 4.130 1.351 11.232
O 4.117 4.177 2.962
O 1.360 4.181 17.274
O 0.576 0.432 8.995
O 1.360 1.351 3.021
Cl 0.000 2.766 14.253
Cl 0.000 2.766 0.000
Cl 2.745 0.000 14.253
Cl 2.745 0.000 0.000
```

* N(E_F): 0.0000 states/eV per atom
* DFT total energy: -30.56 eV per atom
* ΔE_f (raw): -1.616 eV per atom

[11]
A plane-wave DFT calculation with meta-GGA SCAN was carried out for a crystal of YTa2 relaxed with PBEsol.

```
6
Lattice="-1.942 1.134 1.708 0.666 -3.784 3.268 6.060 4.461 3.930" Properties=species:S:1:pos:R:3 pbc="T T T"
Ta 5.028 1.997 5.179
Ta 2.769 3.752 3.780
Ta 1.350 1.842 1.858
Ta -0.244 -0.186 3.727
Y 0.000 0.000 0.000
Y 2.392 0.905 4.453
```

* N(E_F): 1.1497 states/eV per atom
* DFT total energy: -53.06 eV per atom
* ΔE_f: 611.7 meV per atom

[12]
A plane-wave DFT calculation with meta-GGA SCAN was carried out for a crystal of BaAlIr2 relaxed with PBEsol.

```
4
Lattice="-2.757 1.860 -3.371 -1.943 -2.563 3.500 -2.615 2.139 3.318" Properties=species:S:1:pos:R:3 pbc="T T T"
Ir -5.000 1.718 1.711
Ir -2.314 -0.282 1.737
Ba 0.000 0.000 0.000
Al -2.686 2.000 -0.026
```

* N(E_F): 0.5534 states/eV per atom
* DFT total energy: -46.88 eV per atom
* ΔE_f: 490.4 meV per atom

[13]
A plane-wave DFT calculation with meta-GGA SCAN was carried out for a crystal of NaTiO2 relaxed with PBEsol.

```
32
Lattice="-0.160 2.626 -4.645 4.208 -3.555 -2.155 -8.723 -7.825 -4.124" Properties=species:S:1:pos:R:3 pbc="T T T"
O -4.859 -8.315 -9.588
O -1.880 -1.293 -6.042
O -0.474 -4.790 -6.842
O -2.031 -2.411 -3.601
O -4.201 -3.963 -4.082
O 1.526 -2.885 -3.992
O 1.677 -1.768 -6.433
O -5.630 -8.910 -6.830
O 0.955 0.156 -4.094
O 0.184 -0.438 -1.336
O -2.644 -6.343 -7.323
O -6.352 -6.986 -4.491
O -2.795 -7.460 -4.882
O -3.430 -3.369 -6.840
O -1.245 -5.384 -4.084
O -6.201 -5.868 -6.932
Ti -1.437 -6.359 -5.782
Ti -2.490 -4.272 -3.162
Ti 2.213 -1.170 -4.638
Ti -2.185 -4.481 -7.762
Ti 2.961 -3.047 -2.657
Ti -7.636 -5.706 -8.267
Ti -3.238 -2.395 -5.142
Ti -6.888 -7.584 -6.286
Na -0.005 -2.631 -2.142
Na -0.263 -2.963 -5.388
Na -3.339 -8.493 -7.101
Na -4.671 -6.122 -8.782
Na 1.069 -5.334 -3.707
Na -4.412 -5.791 -5.536
Na -1.336 -0.260 -3.823
Na -5.744 -3.420 -7.217
```

* N(E_F): 0.2165 states/eV per atom
* DFT total energy: -10.78 eV per atom
* ΔE_f (raw): -2.599 eV per atom

[14]
A plane-wave DFT calculation with meta-GGA SCAN was carried out for a crystal of LiLa2W relaxed with PBEsol.

```
4
Lattice="2.953 0.000 0.000 0.000 2.953 0.000 0.000 0.000 10.372" Properties=species:S:1:pos:R:3 pbc="T T T"
La 0.000 0.000 9.942
La 1.477 1.477 2.907
W 1.477 1.477 7.501
Li 0.000 0.000 5.580
```

* N(E_F): 0.9308 states/eV per atom
* DFT total energy: -38.86 eV per atom
* ΔE_f: 709.4 meV per atom

[15]
A plane-wave DFT calculation with meta-GGA SCAN was carried out for a crystal of V4GeS8 relaxed with PBEsol.

```
13
Lattice="6.696 0.000 0.000 3.348 5.825 0.044 3.348 1.883 5.512" Properties=species:S:1:pos:R:3 pbc="T T T"
S 6.696 3.875 0.598
S 3.348 3.669 0.783
S 6.696 1.792 3.487
S 4.951 4.855 3.500
S 8.441 4.855 3.500
S 3.348 1.902 3.233
S 1.831 1.048 0.756
S 4.865 1.048 0.756
V 5.345 3.053 2.201
V 8.047 3.053 2.201
V 6.696 3.817 4.480
V 6.696 5.457 2.205
Ge 6.696 7.681 5.537
```

* N(E_F): 0.3238 states/eV per atom
* DFT total energy: -13.76 eV per atom
* ΔE_f (raw): -0.986 eV per atom

[16]
A plane-wave DFT calculation with meta-GGA SCAN was carried out for a crystal of Li2ICl relaxed with PBEsol.

```
8
Lattice="-5.207 0.860 2.617 0.217 -5.451 2.224 5.225 4.344 2.337" Properties=species:S:1:pos:R:3 pbc="T T T"
I 0.000 0.000 0.000
I 1.473 -1.701 3.491
Li -2.884 -0.252 3.564
Li 0.788 0.688 4.656
Li -0.742 -3.313 3.655
Li 3.307 2.386 2.480
Cl -2.495 -2.295 2.420
Cl -1.239 1.455 3.687
```

* N(E_F): 0.0000 states/eV per atom
* DFT total energy: -14.03 eV per atom
* ΔE_f (raw): -1.657 eV per atom

[17]
A plane-wave DFT calculation with meta-GGA SCAN was carried out for a crystal of SrSeBr2 relaxed with PBEsol.

```
4
Lattice="-2.091 3.494 -1.547 -2.030 0.717 4.363 3.754 2.816 1.284" Properties=species:S:1:pos:R:3 pbc="T T T"
Br 1.877 1.408 0.642
Br -1.015 0.358 2.182
Sr -1.046 1.747 -0.774
Se -0.184 3.513 2.050
```

* N(E_F): 0.7917 states/eV per atom
* DFT total energy: -21.41 eV per atom
* ΔE_f (raw): -1.095 eV per atom

[18]
A plane-wave DFT calculation with meta-GGA SCAN was carried out for a crystal of TlAg2Sb2 relaxed with PBEsol.

```
5
Lattice="-3.356 3.327 0.835 -0.231 -1.386 4.589 5.761 2.704 -1.402" Properties=species:S:1:pos:R:3 pbc="T T T"
Sb 1.868 1.144 2.949
Sb 0.306 3.500 1.073
Tl 0.000 0.000 0.000
Ag -0.833 1.861 3.029
Ag 3.006 2.784 0.992
```

* N(E_F): 0.4564 states/eV per atom
* DFT total energy: -41.74 eV per atom
* ΔE_f (raw): 0.179 eV per atom

[19]
A plane-wave DFT calculation with meta-GGA SCAN was carried out for a crystal of LiIN2O relaxed with PBEsol.

```
5
Lattice="3.941 0.000 0.000 0.000 3.941 0.000 0.000 0.000 4.048" Properties=species:S:1:pos:R:3 pbc="T T T"
I 0.000 0.000 0.000
N 1.971 0.000 0.000
N 0.000 1.971 0.000
O 0.000 0.000 2.024
Li 1.971 1.971 2.024
```

* N(E_F): 0.4373 states/eV per atom
* DFT total energy: -11.75 eV per atom
* ΔE_f (raw): 1.043 eV per atom

[20]
A plane-wave DFT calculation with meta-GGA SCAN was carried out for a crystal of Cd2CuRh relaxed with PBEsol.

```
4
Lattice="2.980 0.000 0.000 0.000 3.655 0.000 0.000 0.000 5.779" Properties=species:S:1:pos:R:3 pbc="T T T"
Cd 0.000 0.000 1.437
Cd 0.000 0.000 4.342
Cu 1.490 1.827 0.000
Rh 1.490 1.827 2.889
```

* N(E_F): 0.3359 states/eV per atom
* DFT total energy: -27.47 eV per atom
* ΔE_f: -23.5 meV per atom